# 1
Material: In2Hg2IBr
Method: DFT, GGA-PBE
State: optimized geometry

Lattice parameters (Å, degrees): 4.745 9.916 9.283 90.00 90.00 90.00
Space group Pmc2_1 (No. 26)
Asymmetric unit:
In 0.000 0.063 0.000 (multiplicity 2)
In 0.500 0.351 0.573 (multiplicity 2)
Hg 0.000 0.386 0.820 (multiplicity 2)
Hg 0.500 0.308 0.069 (multiplicity 2)
I 0.500 0.061 0.730 (multiplicity 2)
Br 0.000 0.245 0.401 (multiplicity 2)

Calculated values
volume: 36.397 Å³/atom
E_form (uncorrected): -346 meV per atom
theoretical density: 6.4 g cm⁻³

# 2
Material: InHgIBr4
Method: DFT, GGA-PBE
State: optimized geometry

Lattice parameters (Å, degrees): 16.434 7.824 11.346 90.00 111.82 90.00
Space group C2/m (No. 12)
Asymmetric unit:
In 0.205 0.000 0.313 (multiplicity 4)
Hg 0.115 0.500 0.121 (multiplicity 4)
I 0.042 0.500 0.841 (multiplicity 4)
Br 0.048 0.000 0.284 (multiplicity 4)
Br 0.172 0.500 0.475 (multiplicity 4)
Br 0.241 0.250 0.183 (multiplicity 8)

Calculated values
volume: 48.371 Å³/atom
E_form (uncorrected): -592 meV per atom
theoretical density: 3.7 g cm⁻³

# 3
Material: In4HgI2Br2
Method: DFT, GGA-PBE
State: optimized geometry

Lattice parameters (Å, degrees): 21.130 4.756 6.847 90.00 104.32 90.00
Space group C2/m (No. 12)
Asymmetric unit:
In 0.046 0.000 0.244 (multiplicity 4)
In 0.242 0.000 0.196 (multiplicity 4)
Hg 0.000 0.500 0.500 (multiplicity 2)
I 0.111 0.500 0.031 (multiplicity 4)
Br 0.175 0.000 0.554 (multiplicity 4)

Calculated values
volume: 37.043 Å³/atom
E_form (uncorrected): -479 meV per atom
theoretical density: 5.3 g cm⁻³